Computed, not measured: an optimized crystal structure of BaTlBr at the PBE level of DFT.

## Properties
Raw total energy ... -2.782 eV per atom
DOS at the Fermi energy ... 1.8 states/eV per cell
Space-group type ... P3m1 (156)
E above lowest polymorph ... 0.392 eV per atom
Formation energy without anion corrections ... -2.38 eV/f.u.

POSCAR file:
```
BaTlBr
1.0
5.482 0.000 0.000
-2.741 4.748 0.000
0.000 0.000 4.820
Ba Tl Br
1 1 1
Cartesian
0.000 0.000 0.000 Ba
0.000 3.165 2.340 Tl
2.741 1.583 0.778 Br
```

=====

Computed, not measured: an optimized crystal structure of BaTl2Br at the PBE level of DFT.

## Properties
Raw total energy ... -2.715 eV per atom
DOS at the Fermi energy ... 2.5 states/eV per cell
Space-group type ... I-4m2 (119)
E above lowest polymorph ... 0.111 eV per atom
Formation energy without anion corrections ... -2.53 eV/f.u.

POSCAR file:
```
BaTl2Br
1.0
-2.708 2.708 4.622
2.708 -2.708 4.622
2.708 2.708 -4.622
Ba Tl Br
1 2 1
Cartesian
0.000 0.000 0.000 Ba
0.000 0.000 4.622 Tl
0.000 2.708 2.311 Tl
2.708 0.000 2.311 Br
```

=====

Computed, not measured: an optimized crystal structure of BaTl2Br at the PBE level of DFT.

## Properties
Raw total energy ... -2.769 eV per atom
DOS at the Fermi energy ... 2.7 states/eV per cell
Space-group type ... Amm2 (38)
E above lowest polymorph ... 0.057 eV per atom
Formation energy without anion corrections ... -2.75 eV/f.u.

POSCAR file:
```
BaTl2Br
1.0
6.340 0.000 0.000
0.000 2.052 5.786
0.000 -2.052 5.786
Ba Tl Br
1 2 1
Cartesian
0.000 0.000 0.000 Ba
3.170 0.000 5.670 Tl
3.170 0.000 8.773 Tl
0.000 0.000 3.177 Br
```

=====

Computed, not measured: an optimized crystal structure of BaTmTlBr6 at the PBE level of DFT.

## Properties
Raw total energy ... -3.839 eV per atom
DOS at the Fermi energy ... 0.0 states/eV per cell
Space-group type ... P-31c (163)
Formation energy without anion corrections ... -15.76 eV/f.u.

POSCAR file:
```
BaTmTlBr6
1.0
7.932 0.000 0.000
-3.966 6.869 0.000
0.000 0.000 13.626
Ba Tm Tl Br
2 2 2 12
Cartesian
0.000 4.580 3.407 Ba
3.966 2.290 10.220 Ba
0.000 4.580 10.220 Tm
3.966 2.290 3.407 Tm
0.000 0.000 0.000 Tl
0.000 0.000 6.813 Tl
-1.174 2.638 8.606 Br
-2.268 4.533 11.833 Br
1.174 2.638 11.833 Br
-1.094 6.567 8.606 Br
2.872 0.302 1.793 Br
1.698 2.336 5.020 Br
2.268 4.533 8.606 Br
1.094 6.567 11.833 Br
5.060 0.302 5.020 Br
2.792 4.231 1.793 Br
6.234 2.336 1.793 Br
5.140 4.231 5.020 Br
```

=====

Computed, not measured: an optimized crystal structure of BaZrTl2Br8 at the PBE level of DFT.

## Properties
Raw total energy ... -3.768 eV per atom
DOS at the Fermi energy ... 0.0 states/eV per cell
Space-group type ... P-1 (2)
Formation energy without anion corrections ... -16.63 eV/f.u.

POSCAR file:
```
BaZrTl2Br8
1.0
7.256 0.000 0.000
0.158 7.539 0.000
0.011 0.010 9.233
Ba Zr Tl Br
1 1 2 8
Cartesian
0.000 0.000 0.000 Ba
0.006 0.005 4.616 Zr
3.708 3.772 2.370 Tl
3.717 3.777 6.863 Tl
1.447 5.272 4.619 Br
1.658 0.934 2.711 Br
1.661 0.940 6.515 Br
2.053 4.982 9.232 Br
5.372 2.567 0.001 Br
5.764 6.609 2.718 Br
5.767 6.615 6.521 Br
5.979 2.277 4.614 Br
```

=====

Computed, not measured: an optimized crystal structure of BaUBr5 at the PBE level of DFT.

## Properties
Raw total energy ... -4.698 eV per atom
DOS at the Fermi energy ... 0.6 states/eV per cell
Space-group type ... C2/c (15)
Formation energy without anion corrections ... -11.31 eV/f.u.

POSCAR file:
```
BaUBr5
1.0
6.579 -4.651 0.000
6.579 4.651 0.000
-4.640 0.000 10.249
Ba U Br
2 2 10
Cartesian
3.099 4.198 7.687 Ba
5.419 -4.198 2.562 Ba
6.579 0.000 0.000 U
4.259 0.000 5.124 U
5.969 2.853 0.171 Br
1.785 0.556 3.815 Br
4.869 2.853 4.953 Br
-0.535 -0.556 8.939 Br
3.099 0.827 7.687 Br
5.419 -0.827 2.562 Br
9.053 0.556 1.310 Br
3.649 -2.853 5.296 Br
6.733 -0.556 6.434 Br
2.549 -2.853 10.077 Br
```

=====

Computed, not measured: an optimized crystal structure of BaUBr6 at the PBE level of DFT.

## Properties
Raw total energy ... -4.523 eV per atom
DOS at the Fermi energy ... 5.4 states/eV per cell
Space-group type ... P-1 (2)
Formation energy without anion corrections ... -12.94 eV/f.u.

POSCAR file:
```
BaUBr6
1.0
7.436 0.000 0.000
-3.718 6.442 0.000
-3.715 -2.145 6.922
Ba U Br
1 1 6
Cartesian
0.000 0.000 0.000 Ba
-3.716 2.148 3.461 U
-1.436 2.293 1.855 Br
-2.453 0.247 5.070 Br
-2.704 4.191 5.079 Br
2.707 0.106 1.842 Br
2.456 4.049 1.851 Br
1.440 2.003 5.066 Br
```

=====

Computed, not measured: an optimized crystal structure of BaV2ZnBr at the PBE level of DFT.

## Properties
Raw total energy ... -2.853 eV per atom
DOS at the Fermi energy ... 8.3 states/eV per cell
Space-group type ... P4/mmm (123)
Formation energy without anion corrections ... 8.84 eV/f.u.

POSCAR file:
```
BaV2ZnBr
1.0
6.087 0.000 0.000
0.000 6.087 0.000
0.000 0.000 6.333
Ba V Zn Br
1 2 1 1
Cartesian
0.000 0.000 0.000 Ba
0.000 3.044 0.000 V
3.044 0.000 0.000 V
0.000 0.000 3.166 Zn
3.044 3.044 3.166 Br
```

=====

Computed, not measured: an optimized crystal structure of BaW3Br at the PBE level of DFT.

## Properties
Raw total energy ... -4.453 eV per atom
DOS at the Fermi energy ... 9.3 states/eV per cell
Space-group type ... Pm-3m (221)
E above lowest polymorph ... 1.861 eV per atom
Formation energy without anion corrections ... 20.19 eV/f.u.

POSCAR file:
```
BaW3Br
1.0
5.117 0.000 0.000
0.000 5.117 0.000
0.000 0.000 5.117
Ba W Br
1 3 1
Cartesian
0.000 0.000 0.000 Ba
0.000 0.000 2.558 W
0.000 2.558 0.000 W
2.558 0.000 0.000 W
2.558 2.558 2.558 Br
```

=====

Computed, not measured: an optimized crystal structure of BaWBr at the PBE level of DFT.

## Properties
Raw total energy ... -4.385 eV per atom
DOS at the Fermi energy ... 1.5 states/eV per cell
Space-group type ... F-43m (216)
E above lowest polymorph ... 0.257 eV per atom
Formation energy without anion corrections ... 3.39 eV/f.u.

POSCAR file:
```
BaWBr
1.0
0.000 3.873 3.873
3.873 0.000 3.873
3.873 3.873 0.000
Ba W Br
1 1 1
Cartesian
0.000 0.000 0.000 Ba
3.873 3.873 3.873 W
1.937 1.937 1.937 Br
```

=====

Computed, not measured: an optimized crystal structure of BaW2Br at the PBE level of DFT.

## Properties
Raw total energy ... -5.186 eV per atom
DOS at the Fermi energy ... 6.2 states/eV per cell
Space-group type ... Fm-3m (225)
E above lowest polymorph ... 1.880 eV per atom
Formation energy without anion corrections ... 8.76 eV/f.u.

POSCAR file:
```
BaW2Br
1.0
0.000 3.468 3.468
3.468 0.000 3.468
3.468 3.468 0.000
Ba W Br
1 2 1
Cartesian
0.000 0.000 0.000 Ba
1.734 1.734 1.734 W
5.202 5.202 5.202 W
3.468 3.468 3.468 Br
```

=====

Computed, not measured: an optimized crystal structure of BaWBr at the PBE level of DFT.

## Properties
Raw total energy ... -4.538 eV per atom
DOS at the Fermi energy ... 1.8 states/eV per cell
Space-group type ... I4mm (107)
E above lowest polymorph ... 0.105 eV per atom
Formation energy without anion corrections ... 2.94 eV/f.u.

POSCAR file:
```
BaWBr
1.0
-1.883 1.883 6.583
1.883 -1.883 6.583
1.883 1.883 -6.583
Ba W Br
1 1 1
Cartesian
0.000 0.000 0.000 Ba
0.000 0.000 8.829 W
0.000 0.000 4.409 Br
```

=====

Computed, not measured: an optimized crystal structure of BaW2Br at the PBE level of DFT.

## Properties
Raw total energy ... -6.319 eV per atom
DOS at the Fermi energy ... 3.2 states/eV per cell
Space-group type ... P2/m (10)
E above lowest polymorph ... 0.746 eV per atom
Formation energy without anion corrections ... 4.22 eV/f.u.

POSCAR file:
```
BaW2Br
1.0
4.725 0.000 0.000
0.000 3.264 0.000
-0.945 0.000 6.936
Ba W Br
1 2 1
Cartesian
0.000 0.000 0.000 Ba
-0.473 1.632 3.468 W
1.890 0.000 3.468 W
2.362 1.632 0.000 Br
```

=====

Computed, not measured: an optimized crystal structure of BaW2Br at the PBE level of DFT.

## Properties
Raw total energy ... -5.729 eV per atom
DOS at the Fermi energy ... 5.4 states/eV per cell
Space-group type ... P4/mmm (123)
E above lowest polymorph ... 1.336 eV per atom
Formation energy without anion corrections ... 6.58 eV/f.u.

POSCAR file:
```
BaW2Br
1.0
3.743 0.000 0.000
0.000 3.743 0.000
0.000 0.000 7.170
Ba W Br
1 2 1
Cartesian
0.000 0.000 0.000 Ba
1.872 1.872 2.416 W
1.872 1.872 4.754 W
0.000 0.000 3.585 Br
```